! Fe5Sn3F12 GGA+U relaxed; values from VASP
&SYSTEM
  ibrav = 0, nat = 80, ntyp = 3
/
ATOMIC_SPECIES
Fe 55.84 Fe.upf
Sn 118.71 Sn.upf
F 19.00 F.upf
CELL_PARAMETERS angstrom
-6.8707 6.8707 6.8707
6.8707 -6.8707 6.8707
6.8707 6.8707 -6.8707
ATOMIC_POSITIONS crystal
Fe 0.0000 0.0000 0.0000
Fe 0.0000 0.0000 0.5000
Fe 0.0000 0.5000 0.0000
Fe 0.0000 0.5000 0.5000
Fe 0.1250 0.7500 0.8750
Fe 0.1250 0.8750 0.2500
Fe 0.2500 0.1250 0.8750
Fe 0.2500 0.6250 0.3750
Fe 0.3750 0.2500 0.6250
Fe 0.3750 0.6250 0.7500
Fe 0.5000 0.0000 0.0000
Fe 0.5000 0.0000 0.5000
Fe 0.5000 0.5000 0.0000
Fe 0.5000 0.5000 0.5000
Fe 0.6250 0.3750 0.2500
Fe 0.6250 0.7500 0.3750
Fe 0.7500 0.3750 0.6250
Fe 0.7500 0.8750 0.1250
Fe 0.8750 0.1250 0.7500
Fe 0.8750 0.2500 0.1250
Sn 0.1250 0.2500 0.3750
Sn 0.1250 0.3750 0.7500
Sn 0.2500 0.3750 0.1250
Sn 0.2500 0.8750 0.6250
Sn 0.3750 0.1250 0.2500
Sn 0.3750 0.7500 0.1250
Sn 0.6250 0.2500 0.8750
Sn 0.6250 0.8750 0.7500
Sn 0.7500 0.1250 0.3750
Sn 0.7500 0.6250 0.8750
Sn 0.8750 0.6250 0.2500
Sn 0.8750 0.7500 0.6250
F 0.9999 0.1876 0.0778
F 0.9999 0.3123 0.9221
F 0.0001 0.6877 0.0779
F 0.0001 0.8124 0.9222
F 0.0778 0.9999 0.1876
F 0.0779 0.0001 0.6877
F 0.0779 0.5778 0.3902
F 0.0778 0.5779 0.8902
F 0.1098 0.6876 0.6877
F 0.1098 0.9222 0.4221
F 0.1876 0.0778 0.9999
F 0.1877 0.1876 0.6098
F 0.1877 0.5001 0.5779
F 0.1876 0.6098 0.1877
F 0.3124 0.3123 0.8902
F 0.3124 0.5001 0.4222
F 0.3123 0.8902 0.3124
F 0.3123 0.9221 0.9999
F 0.3902 0.0779 0.5778
F 0.3902 0.8123 0.8124
F 0.4221 0.1098 0.9222
F 0.4222 0.3124 0.5001
F 0.4222 0.6098 0.9221
F 0.4221 0.8123 0.4999
F 0.5001 0.4222 0.3124
F 0.4999 0.4221 0.8123
F 0.5001 0.5779 0.1877
F 0.4999 0.5778 0.6876
F 0.5779 0.1877 0.5001
F 0.5778 0.3902 0.0779
F 0.5778 0.6876 0.4999
F 0.5779 0.8902 0.0778
F 0.6098 0.1877 0.1876
F 0.6098 0.9221 0.4222
F 0.6877 0.0779 0.0001
F 0.6877 0.1098 0.6876
F 0.6876 0.4999 0.5778
F 0.6876 0.6877 0.1098
F 0.8124 0.3902 0.8123
F 0.8123 0.4999 0.4221
F 0.8123 0.8124 0.3902
F 0.8124 0.9222 0.0001
F 0.8902 0.0778 0.5779
F 0.8902 0.3124 0.3123
F 0.9221 0.9999 0.3123
F 0.9222 0.0001 0.8124
F 0.9222 0.4221 0.1098
F 0.9221 0.4222 0.6098
! Space-group type   No. 230
! E_tot   -0.181 Ha/atom
! Calculated density   4.420 Mg/m³